# PBE Pr5DyHo2, relaxed
data_Pr5DyHo2
_space_group_name_H-M_alt 'P 1'
_space_group_IT_number 1
_cell_length_a 9.2944
_cell_length_b 9.2944
_cell_length_c 9.1828
_cell_angle_alpha 120.40
_cell_angle_beta 120.40
_cell_angle_gamma 90.00
loop_
_space_group_symop_operation_xyz
'x,y,z'
loop_
_atom_site_label
_atom_site_type_symbol
_atom_site_fract_x
_atom_site_fract_y
_atom_site_fract_z
Ho1 Ho 0.6457 0.1457 0.0000
Dy1 Dy 0.2500 0.2500 0.5000
Ho2 Ho 0.1457 0.3543 0.0000
Pr1 Pr 0.6863 0.1863 0.6724
Pr2 Pr 0.3137 0.8137 0.3276
Pr3 Pr 0.0000 0.0000 0.0000
Pr4 Pr 0.4861 0.6863 0.6724
Ho3 Ho 0.3543 0.8543 0.0000
Pr5 Pr 0.8137 0.0139 0.3276
Pr6 Pr 0.5139 0.3137 0.3276
Pr7 Pr 0.0139 0.5139 0.3276
Dy2 Dy 0.7500 0.7500 0.5000
Pr8 Pr 0.1863 0.9861 0.6724
Pr9 Pr 0.9861 0.4861 0.6724
Pr10 Pr 0.5000 0.5000 0.0000
Ho4 Ho 0.8543 0.6457 0.0000
# * formation energy from the elements: 0.12 eV per atom
# * raw total energy: -4.590 eV/atom